Below is crystalline Mo2PtBr at its relaxed geometry, with properties calculated at the PBE level.

As for the raw formation energy: 0.488 eV/atom. As for the crystal system: orthorhombic. The value obtained for the density of states at the Fermi level is 1.152 states/eV/atom. For the energy above the most stable polymorph in this dataset, the calculation gives 203 meV/atom. The value obtained for the total moment is 0.00 μB/cell. The volume is 16.2 Å³ per atom. The calculation puts the final energy at -6.856 eV/atom.

The structure belongs to space group Pmmm (No. 47); the cell edges are 2.999, 3.171 and 6.806 Å and the angles 90.00°, 90.00° and 90.00°. The asymmetric unit holds Mo at (0.000, 0.000, 0.250), Pt at (0.500, 0.500, 0.000) and Br at (0.500, 0.500, 0.500).

---

Below is crystalline Mo2PtBr at its relaxed geometry, with properties calculated at the PBE level.

As for the raw formation energy: 0.361 eV/atom. As for the crystal system: orthorhombic. The value obtained for the density of states at the Fermi level is 1.031 states/eV/atom. For the energy above the most stable polymorph in this dataset, the calculation gives 76 meV/atom. The value obtained for the total moment is 0.00 μB/cell. The volume is 20.2 Å³ per atom. The calculation puts the final energy at -6.983 eV/atom.

The structure belongs to space group Pmmm (No. 47); the cell edges are 3.410, 3.452 and 6.874 Å and the angles 90.00°, 90.00° and 90.00°. The asymmetric unit holds Mo at (0.000, 0.000, 0.173), Pt at (0.500, 0.500, 0.000) and Br at (0.500, 0.000, 0.500).

---

Below is crystalline MoPtBr2 at its relaxed geometry, with properties calculated at the PBE level.

As for the raw formation energy: 0.096 eV/atom. As for the crystal system: tetragonal. The value obtained for the density of states at the Fermi level is 0.507 states/eV/atom. For the energy above the most stable polymorph in this dataset, the calculation gives 88 meV/atom. The value obtained for the total moment is 0.00 μB/cell. The volume is 21.6 Å³ per atom. The calculation puts the final energy at -4.958 eV/atom.

The structure belongs to space group P4mm (No. 99); the cell edges are 3.131, 3.131 and 8.830 Å and the angles 90.00°, 90.00° and 90.00°. The asymmetric unit holds Mo at (0.000, 0.000, 0.000), Pt at (0.500, 0.500, 0.177), Br at (0.000, 0.000, 0.392) and Br at (0.500, 0.500, 0.804).

---

Below is crystalline Mo2PtBr at its relaxed geometry, with properties calculated at the PBE level.

As for the raw formation energy: 0.417 eV/atom. As for the crystal system: triclinic. The value obtained for the density of states at the Fermi level is 0.516 states/eV/atom. For the energy above the most stable polymorph in this dataset, the calculation gives 132 meV/atom. The value obtained for the total moment is 0.00 μB/cell. The volume is 18.2 Å³ per atom. The calculation puts the final energy at -6.927 eV/atom.

The structure belongs to space group P1 (No. 1); the cell edges are 3.020, 4.539 and 5.766 Å and the angles 112.95°, 90.44° and 90.07°. The asymmetric unit holds Mo at (0.000, 0.000, 0.000), Mo at (0.489, 0.817, 0.636), Pt at (0.499, 0.539, 0.080) and Br at (0.013, 0.250, 0.502).

---

Below is crystalline Mo2PtBr at its relaxed geometry, with properties calculated at the PBE level.

As for the raw formation energy: 0.430 eV/atom. As for the crystal system: trigonal. The value obtained for the density of states at the Fermi level is 0.916 states/eV/atom. For the energy above the most stable polymorph in this dataset, the calculation gives 145 meV/atom. The value obtained for the total moment is 0.00 μB/cell. The volume is 16.4 Å³ per atom. The calculation puts the final energy at -6.914 eV/atom.

The structure belongs to space group R-3m (No. 166, hexagonal axes); the cell edges are 2.9353, 2.9353 and 26.3947 Å and the angles 90.00°, 90.00° and 120.00°. The asymmetric unit holds Mo at (0.0000, 0.0000, 0.2492), Pt at (0.0000, 0.0000, 0.0000) and Br at (0.0000, 0.0000, 0.5000).

---

Below is crystalline Mo4PtBr at its relaxed geometry, with properties calculated at the PBE level.

As for the raw formation energy: 0.759 eV/atom. As for the crystal system: cubic. The value obtained for the density of states at the Fermi level is 0.900 states/eV/atom. The value obtained for the total moment is 0.00 μB/cell. The volume is 17.3 Å³ per atom. The calculation puts the final energy at -7.748 eV/atom.

The structure belongs to space group F-43m (No. 216); the cell edges are 7.464, 7.464 and 7.464 Å and the angles 90.00°, 90.00° and 90.00°. The asymmetric unit holds Mo at (0.125, 0.125, 0.125), Pt at (0.250, 0.250, 0.750) and Br at (0.000, 0.000, 0.500).

---

Below is crystalline Mo2PtBr at its relaxed geometry, with properties calculated at the PBE level.

As for the raw formation energy: 0.743 eV/atom. As for the crystal system: monoclinic. The value obtained for the density of states at the Fermi level is 0.983 states/eV/atom. For the energy above the most stable polymorph in this dataset, the calculation gives 458 meV/atom. The value obtained for the total moment is 0.00 μB/cell. The volume is 16.7 Å³ per atom. The calculation puts the final energy at -6.601 eV/atom.

The structure belongs to space group C2/m (No. 12); the cell edges are 5.386, 8.840 and 2.902 Å and the angles 90.00°, 104.88° and 90.00°. The asymmetric unit holds Mo at (0.250, 0.250, 0.000), Pt at (0.000, 0.000, 0.500) and Br at (0.000, 0.500, 0.500).

---

Below is crystalline Mo2PtBr at its relaxed geometry, with properties calculated at the PBE level.

As for the raw formation energy: 0.548 eV/atom. As for the crystal system: monoclinic. The value obtained for the density of states at the Fermi level is 0.762 states/eV/atom. For the energy above the most stable polymorph in this dataset, the calculation gives 263 meV/atom. The value obtained for the total moment is 0.00 μB/cell. The volume is 16.8 Å³ per atom. The calculation puts the final energy at -6.796 eV/atom.

The structure belongs to space group C2/m (No. 12); the cell edges are 8.258, 2.843 and 5.791 Å and the angles 90.00°, 99.09° and 90.00°. The asymmetric unit holds Mo at (0.247, 0.000, 0.259), Pt at (0.000, 0.500, 0.000) and Br at (0.000, 0.000, 0.500).

---

Below is crystalline MoPtBr at its relaxed geometry, with properties calculated at the PBE level.

As for the raw formation energy: 0.655 eV/atom. As for the crystal system: trigonal. The value obtained for the density of states at the Fermi level is 0.815 states/eV/atom. For the energy above the most stable polymorph in this dataset, the calculation gives 427 meV/atom. The value obtained for the total moment is 0.00 μB/cell. The volume is 17.3 Å³ per atom. The calculation puts the final energy at -5.526 eV/atom.

The structure belongs to space group P3m1 (No. 156); the cell edges are 4.2731, 4.2731 and 3.2838 Å and the angles 90.00°, 90.00° and 120.00°. The asymmetric unit holds Mo at (0.0000, 0.0000, 0.0000), Pt at (0.6667, 0.3333, 0.4513) and Br at (0.3333, 0.6667, 0.8639).

---

Below is crystalline Mo2PtBr at its relaxed geometry, with properties calculated at the PBE level.

As for the raw formation energy: 0.824 eV/atom. As for the crystal system: orthorhombic. The value obtained for the density of states at the Fermi level is 0.908 states/eV/atom. For the energy above the most stable polymorph in this dataset, the calculation gives 539 meV/atom. The value obtained for the total moment is 0.00 μB/cell. The volume is 16.9 Å³ per atom. The calculation puts the final energy at -6.520 eV/atom.

The structure belongs to space group Pmmm (No. 47); the cell edges are 3.015, 4.636 and 4.825 Å and the angles 90.00°, 90.00° and 90.00°. The asymmetric unit holds Mo at (0.000, 0.000, 0.000), Mo at (0.500, 0.500, 0.000), Pt at (0.000, 0.500, 0.500) and Br at (0.500, 0.000, 0.500).

---

Below is crystalline Mo2PtBr at its relaxed geometry, with properties calculated at the PBE level.

As for the raw formation energy: 0.857 eV/atom. As for the crystal system: tetragonal. The value obtained for the density of states at the Fermi level is 1.304 states/eV/atom. For the energy above the most stable polymorph in this dataset, the calculation gives 572 meV/atom. The value obtained for the total moment is 1.51 μB/cell. The volume is 16.8 Å³ per atom. The calculation puts the final energy at -6.487 eV/atom.

The structure belongs to space group I-4m2 (No. 119); the cell edges are 4.069, 4.069 and 8.119 Å and the angles 90.00°, 90.00° and 90.00°. The asymmetric unit holds Mo at (0.000, 0.000, 0.000), Mo at (0.000, 0.500, 0.250), Pt at (0.000, 0.500, 0.750) and Br at (0.000, 0.000, 0.500).

---

Below is crystalline Mo2PtBr at its relaxed geometry, with properties calculated at the PBE level.

As for the raw formation energy: 0.299 eV/atom. As for the crystal system: trigonal. The value obtained for the density of states at the Fermi level is 0.390 states/eV/atom. For the energy above the most stable polymorph in this dataset, the calculation gives 14 meV/atom. The value obtained for the total moment is 0.00 μB/cell. The volume is 17.8 Å³ per atom. The calculation puts the final energy at -7.045 eV/atom.

The structure belongs to space group R3m (No. 160, hexagonal axes); the cell edges are 2.9229, 2.9229 and 28.8066 Å and the angles 90.00°, 90.00° and 120.00°. The asymmetric unit holds Mo at (0.0000, 0.0000, 0.0000), Mo at (0.0000, 0.0000, 0.2523), Pt at (0.0000, 0.0000, 0.7412) and Br at (0.0000, 0.0000, 0.5165).

---

- Look up the final energy of the seventh one.
  -6.601 eV/atom